# 1
# CeDyGePt (GGA-PBE, optimized geometry)
data_CeDyGePt
_cell_length_a 5.069
_cell_length_b 5.069
_cell_length_c 5.069
_cell_angle_alpha 60.00
_cell_angle_beta 60.00
_cell_angle_gamma 60.00
_symmetry_space_group_name_H-M 'P 1'
_symmetry_Int_Tables_number 1
_symmetry_space_group_name_Hall 'P 1'
loop_
_atom_site_label
_atom_site_fract_x
_atom_site_fract_y
_atom_site_fract_z
Ge1 0.250 0.250 0.250
Ce1 0.500 0.500 0.500
Pt1 0.750 0.750 0.750
Dy1 0.000 0.000 0.000
# Energy of formation   -0.8250 eV/atom
# Crystal system   cubic
# Offset from the most stable computed form   0 meV/atom

# 2
# RbHgSbAu2 (GGA-PBE, optimized geometry)
data_RbHgSbAu2
_cell_length_a 5.405
_cell_length_b 5.405
_cell_length_c 5.872
_cell_angle_alpha 90.00
_cell_angle_beta 90.00
_cell_angle_gamma 90.00
_symmetry_space_group_name_H-M 'P 1'
_symmetry_Int_Tables_number 1
_symmetry_space_group_name_Hall 'P 1'
loop_
_atom_site_label
_atom_site_fract_x
_atom_site_fract_y
_atom_site_fract_z
Sb1 0.000 0.000 0.000
Au1 0.000 0.500 0.000
Au2 0.500 0.000 0.000
Hg1 0.000 0.000 0.500
Rb1 0.500 0.500 0.500
# Crystal system   tetragonal
# Formation energy without anion corrections   -0.61 eV/f.u.
# Offset from the most stable computed form   135 meV/atom

# 3
# Ce5Ir2Pb (GGA-PBE, optimized geometry)
data_Ce5Ir2Pb
_cell_length_a 7.919
_cell_length_b 7.919
_cell_length_c 8.828
_cell_angle_alpha 116.65
_cell_angle_beta 116.65
_cell_angle_gamma 90.00
_symmetry_space_group_name_H-M 'P 1'
_symmetry_Int_Tables_number 1
_symmetry_space_group_name_Hall 'P 1'
loop_
_atom_site_label
_atom_site_fract_x
_atom_site_fract_y
_atom_site_fract_z
Ce1 0.523 0.707 0.730
Ce2 0.793 0.977 0.270
Ce3 0.000 0.000 0.000
Ce4 0.500 0.500 0.000
Ce5 0.207 0.023 0.730
Ce6 0.707 0.207 0.730
Ce7 0.023 0.523 0.730
Ce8 0.293 0.793 0.270
Ce9 0.977 0.477 0.270
Ce10 0.477 0.293 0.270
Ir1 0.143 0.357 0.000
Ir2 0.643 0.143 0.000
Ir3 0.357 0.857 0.000
Ir4 0.857 0.643 0.000
Pb1 0.750 0.750 0.500
Pb2 0.250 0.250 0.500
# Energy of formation   -0.5423 eV/atom
# Crystal system   tetragonal

# 4
# Ba2Cu2PtO6 (GGA-PBE, optimized geometry)
data_Ba2Cu2PtO6
_cell_length_a 5.914
_cell_length_b 5.914
_cell_length_c 6.417
_cell_angle_alpha 62.56
_cell_angle_beta 62.56
_cell_angle_gamma 60.00
_symmetry_space_group_name_H-M 'P 1'
_symmetry_Int_Tables_number 1
_symmetry_space_group_name_Hall 'P 1'
loop_
_atom_site_label
_atom_site_fract_x
_atom_site_fract_y
_atom_site_fract_z
Ba1 0.779 0.779 0.663
Ba2 0.221 0.221 0.337
Cu1 0.411 0.411 0.768
Cu2 0.589 0.589 0.232
Pt1 0.000 0.000 0.000
O1 0.767 0.767 0.244
O2 0.222 0.767 0.244
O3 0.767 0.222 0.244
O4 0.233 0.778 0.756
O5 0.778 0.233 0.756
O6 0.233 0.233 0.756
# Crystal system   trigonal
# Formation energy without anion corrections   -14.39 eV/f.u.

# 5
# NaMgH2F (GGA-PBE, optimized geometry)
data_NaMgH2F
_cell_length_a 5.340
_cell_length_b 5.340
_cell_length_c 5.517
_cell_angle_alpha 118.95
_cell_angle_beta 118.95
_cell_angle_gamma 90.00
_symmetry_space_group_name_H-M 'P 1'
_symmetry_Int_Tables_number 1
_symmetry_space_group_name_Hall 'P 1'
loop_
_atom_site_label
_atom_site_fract_x
_atom_site_fract_y
_atom_site_fract_z
Na1 0.750 0.250 0.500
Na2 0.250 0.750 0.500
Mg1 0.000 0.000 0.000
Mg2 0.500 0.500 0.000
H1 0.314 0.814 0.000
H2 0.814 0.686 0.000
H3 0.686 0.186 0.000
H4 0.186 0.314 0.000
F1 0.750 0.750 0.500
F2 0.250 0.250 0.500
# Crystal system   tetragonal
# Offset from the most stable computed form   0 meV/atom

# 6
# HfTc3Hg (GGA-PBE, optimized geometry)
data_HfTc3Hg
_cell_length_a 4.785
_cell_length_b 4.785
_cell_length_c 4.785
_cell_angle_alpha 90.00
_cell_angle_beta 90.00
_cell_angle_gamma 90.00
_symmetry_space_group_name_H-M 'P 1'
_symmetry_Int_Tables_number 1
_symmetry_space_group_name_Hall 'P 1'
loop_
_atom_site_label
_atom_site_fract_x
_atom_site_fract_y
_atom_site_fract_z
Hf1 0.000 0.000 0.000
Hg1 0.500 0.500 0.500
Tc1 0.000 0.500 0.000
Tc2 0.000 0.000 0.500
Tc3 0.500 0.000 0.000
# Energy of formation   1.7663 eV/atom
# Crystal system   cubic
# Offset from the most stable computed form   0 meV/atom

# 7
# Nd3ZrTl4S8 (GGA-PBE, optimized geometry)
data_Nd3ZrTl4S8
_cell_length_a 8.116
_cell_length_b 8.902
_cell_length_c 8.118
_cell_angle_alpha 117.15
_cell_angle_beta 119.99
_cell_angle_gamma 90.00
_symmetry_space_group_name_H-M 'P 1'
_symmetry_Int_Tables_number 1
_symmetry_space_group_name_Hall 'P 1'
loop_
_atom_site_label
_atom_site_fract_x
_atom_site_fract_y
_atom_site_fract_z
Nd1 0.500 0.500 0.000
Nd2 0.500 0.500 0.500
Nd3 0.000 0.500 0.500
Zr1 0.000 0.500 0.000
Tl1 0.500 0.000 0.000
Tl2 0.500 0.000 0.500
Tl3 0.000 0.000 0.000
Tl4 0.000 0.000 0.500
S1 0.222 0.700 0.979
S2 0.222 0.700 0.443
S3 0.263 0.290 0.526
S4 0.757 0.700 0.979
S5 0.243 0.300 0.021
S6 0.737 0.710 0.474
S7 0.778 0.300 0.557
S8 0.778 0.300 0.021
# Crystal system   trigonal
# Formation energy without anion corrections   -21.36 eV/f.u.

# 8
# Li3P (GGA-PBE, optimized geometry)
data_Li3P
_cell_length_a 9.253
_cell_length_b 9.253
_cell_length_c 9.253
_cell_angle_alpha 18.59
_cell_angle_beta 18.59
_cell_angle_gamma 18.59
_symmetry_space_group_name_H-M 'P 1'
_symmetry_Int_Tables_number 1
_symmetry_space_group_name_Hall 'P 1'
loop_
_atom_site_label
_atom_site_fract_x
_atom_site_fract_y
_atom_site_fract_z
Li1 0.733 0.733 0.733
Li2 0.500 0.500 0.500
Li3 0.267 0.267 0.267
P1 0.000 0.000 0.000
# Energy of formation   -0.1338 eV/atom
# Crystal system   trigonal

# 9
# SrBeRe2 (GGA-PBE, optimized geometry)
data_SrBeRe2
_cell_length_a 5.609
_cell_length_b 5.609
_cell_length_c 2.615
_cell_angle_alpha 90.00
_cell_angle_beta 90.00
_cell_angle_gamma 121.70
_symmetry_space_group_name_H-M 'P 1'
_symmetry_Int_Tables_number 1
_symmetry_space_group_name_Hall 'P 1'
loop_
_atom_site_label
_atom_site_fract_x
_atom_site_fract_y
_atom_site_fract_z
Re1 0.000 0.000 0.000
Re2 0.500 0.500 0.000
Be1 0.000 0.500 0.500
Sr1 0.500 0.000 0.500
# Energy of formation   1.2122 eV/atom
# Crystal system   orthorhombic

# 10
# Ba4SrAc3O8 (GGA-PBE, optimized geometry)
data_Ba4SrAc3O8
_cell_length_a 7.695
_cell_length_b 7.774
_cell_length_c 7.695
_cell_angle_alpha 119.67
_cell_angle_beta 120.00
_cell_angle_gamma 90.00
_symmetry_space_group_name_H-M 'P 1'
_symmetry_Int_Tables_number 1
_symmetry_space_group_name_Hall 'P 1'
loop_
_atom_site_label
_atom_site_fract_x
_atom_site_fract_y
_atom_site_fract_z
Ba1 0.500 0.000 0.000
Ba2 0.500 0.000 0.500
Ba3 0.000 0.000 0.000
Ba4 0.000 0.000 0.500
Sr1 0.000 0.500 0.000
Ac1 0.500 0.500 0.000
Ac2 0.500 0.500 0.500
Ac3 0.000 0.500 0.500
O1 0.240 0.713 0.973
O2 0.240 0.713 0.480
O3 0.263 0.288 0.525
O4 0.733 0.713 0.973
O5 0.267 0.287 0.027
O6 0.737 0.712 0.475
O7 0.760 0.287 0.520
O8 0.760 0.287 0.027
# Crystal system   trigonal
# Formation energy without anion corrections   -41.59 eV/f.u.

# 11
# La4GeSI2 (GGA-PBE, optimized geometry)
data_La4GeSI2
_cell_length_a 4.365
_cell_length_b 7.473
_cell_length_c 8.215
_cell_angle_alpha 108.12
_cell_angle_beta 90.00
_cell_angle_gamma 90.00
_symmetry_space_group_name_H-M 'P 1'
_symmetry_Int_Tables_number 1
_symmetry_space_group_name_Hall 'P 1'
loop_
_atom_site_label
_atom_site_fract_x
_atom_site_fract_y
_atom_site_fract_z
La1 0.500 0.222 0.194
La2 0.500 0.778 0.806
La3 0.000 0.256 0.801
La4 0.000 0.744 0.199
Ge1 0.500 0.500 0.000
S1 0.000 0.000 0.000
I1 0.500 0.000 0.500
I2 0.000 0.500 0.500
# Crystal system   monoclinic
# Formation energy without anion corrections   -10.96 eV/f.u.

no.,total energy (eV/atom)
1,-6.1236
2,-2.5114
3,-6.9297
4,-5.6564
5,-3.5039
6,-6.5044
7,-5.4186
8,-2.9217
9,-6.3639
10,-6.4349
11,-5.3147